Here is a relaxed ErBeAl2Pt4 crystal from Alexandria via LeMat-Bulk. Energies are from GGA-PBE.

The structure belongs to space group R-3m (No. 166, hexagonal axes); the cell edges are 4.2377, 4.2377 and 24.8817 Å and the angles 90.00°, 90.00° and 120.00°. The asymmetric unit holds Er at (0.0000, 0.0000, 0.0000), Be at (0.0000, 0.0000, 0.5000), Al at (0.0000, 0.0000, 0.2416), Pt at (0.0000, 0.0000, 0.1360) and Pt at (0.0000, 0.0000, 0.4047).

The total energy comes out at -144.7 eV/cell. Its spin magnetization is 0.0 μB per formula unit. The calculated formation energy is -1.036 eV per atom. The density comes out at 13.01 g/cm3.